Here is an optimized crystal structure of Pr3Sm2Er4 from the Alexandria database. Energies are from PBE-GGA.

Cell: 6.229 6.247 8.044 Å, 75.17 82.69 80.46°
Positions (direct):
Pr  0.000  0.000  0.000
Pr  0.111  0.558  0.776
Pr  0.889  0.442  0.224
Sm  0.333  0.668  0.333
Sm  0.667  0.332  0.667
Er  0.227  0.111  0.553
Er  0.447  0.222  0.112
Er  0.553  0.778  0.888
Er  0.773  0.889  0.447

size of the total moment	0.00	μB/f.u.
ΔE_f	0.478	kcal/mol of atoms
Fermi-level density of states	12.98	states/eV per cell

Here is an optimized crystal structure of DyThRu from the Alexandria database. Energies are from PBE-GGA.

Cell: 4.862 4.862 4.862 Å, 60.00 60.00 60.00°
Positions (direct):
Dy  0.000  0.000  0.000
Th  0.500  0.500  0.500
Ru  0.750  0.750  0.750

size of the total moment	0.00	μB/f.u.
ΔE_f	-5.729	kcal/mol of atoms
Fermi-level density of states	3.36	states/eV per cell

Here is an optimized crystal structure of Cs3Tl2Sb4 from the Alexandria database. Energies are from PBE-GGA.

Cell: 5.190 7.799 10.695 Å, 78.95 89.95 70.59°
Positions (direct):
Cs  0.000  0.000  0.000
Cs  0.362  0.276  0.639
Cs  0.638  0.724  0.361
Tl  0.329  0.342  0.279
Tl  0.671  0.658  0.721
Sb  0.054  0.894  0.626
Sb  0.297  0.406  0.988
Sb  0.703  0.594  0.012
Sb  0.946  0.106  0.374

size of the total moment	0.00	μB/f.u.
formation energy from raw total energies	-2.272	eV per formula unit
Fermi-level density of states	6.71	states/eV per cell

Here is an optimized crystal structure of CdPb2F2 from the Alexandria database. Energies are from PBE-GGA.

Cell: 7.735 7.735 7.735 Å, 150.51 150.51 42.20°
Positions (direct):
Cd  0.000  0.000  0.000
Pb  0.363  0.363  0.000
Pb  0.637  0.637  0.000
F  0.250  0.750  0.500
F  0.750  0.250  0.500

size of the total moment	0.00	μB/f.u.
formation energy from raw total energies	-5.673	eV per formula unit
Fermi-level density of states	3.42	states/eV per cell

Here is an optimized crystal structure of KTcSb2I from the Alexandria database. Energies are from PBE-GGA.

Cell: 5.118 5.118 6.348 Å, 90.00 90.00 90.00°
Positions (direct):
K  0.000  0.000  0.000
Tc  0.500  0.500  0.500
Sb  0.000  0.500  0.500
Sb  0.500  0.000  0.500
I  0.500  0.500  0.000

size of the total moment	0.00	μB/f.u.
formation energy from raw total energies	-0.106	eV per formula unit
Fermi-level density of states	2.75	states/eV per cell

Here is an optimized crystal structure of SmEuTh2 from the Alexandria database. Energies are from PBE-GGA.

Cell: 3.565 3.565 10.641 Å, 90.00 90.00 90.00°
Positions (direct):
Sm  0.000  0.000  0.000
Eu  0.000  0.000  0.500
Th  0.500  0.500  0.242
Th  0.500  0.500  0.758

size of the total moment	7.41	μB/f.u.
ΔE_f	3.425	kcal/mol of atoms
Fermi-level density of states	5.65	states/eV per cell

Here is an optimized crystal structure of Na3Ce3MgS8 from the Alexandria database. Energies are from PBE-GGA.

Cell: 8.112 8.112 8.112 Å, 59.45 59.45 59.45°
Positions (direct):
Na  0.000  0.500  0.500
Na  0.500  0.000  0.500
Na  0.500  0.500  0.000
Ce  0.000  0.000  0.500
Ce  0.000  0.500  0.000
Ce  0.500  0.000  0.000
Mg  0.500  0.500  0.500
S  0.245  0.245  0.245
S  0.246  0.735  0.735
S  0.265  0.265  0.754
S  0.265  0.754  0.265
S  0.735  0.246  0.735
S  0.735  0.735  0.246
S  0.754  0.265  0.265
S  0.755  0.755  0.755

size of the total moment	1.11	μB/f.u.
formation energy from raw total energies	-24.136	eV per formula unit
Fermi-level density of states	13.75	states/eV per cell

Here is an optimized crystal structure of NdSmTh2Bi4 from the Alexandria database. Energies are from PBE-GGA.

Cell: 7.934 4.599 7.959 Å, 90.00 109.62 90.00°
Positions (direct):
Nd  0.000  0.000  0.000
Sm  0.000  0.500  0.500
Th  0.500  0.000  0.500
Th  0.500  0.500  0.000
Bi  0.248  0.000  0.748
Bi  0.249  0.500  0.251
Bi  0.751  0.500  0.749
Bi  0.752  0.000  0.252

size of the total moment	0.00	μB/f.u.
ΔE_f	-17.487	kcal/mol of atoms
Fermi-level density of states	4.75	states/eV per cell

Here is an optimized crystal structure of La12Co5Pt from the Alexandria database. Energies are from PBE-GGA.

Cell: 7.146 7.146 13.121 Å, 95.18 95.18 119.99°
Positions (direct):
La  0.039  0.390  0.116
La  0.127  0.127  0.385
La  0.204  0.536  0.611
La  0.312  0.312  0.884
La  0.390  0.039  0.116
La  0.464  0.796  0.389
La  0.536  0.204  0.611
La  0.610  0.961  0.884
La  0.688  0.688  0.116
La  0.796  0.464  0.389
La  0.873  0.873  0.615
La  0.961  0.610  0.884
Co  0.166  0.834  0.500
Co  0.333  0.667  0.000
Co  0.500  0.500  0.500
Co  0.667  0.333  0.000
Co  0.834  0.166  0.500
Pt  0.000  0.000  0.000

size of the total moment	0.00	μB/f.u.
ΔE_f	-4.900	kcal/mol of atoms
Fermi-level density of states	18.59	states/eV per cell

Here is an optimized crystal structure of Ti3Cu4Ni from the Alexandria database. Energies are from PBE-GGA.

Cell: 10.124 10.124 10.124 Å, 162.64 158.74 27.58°
Positions (direct):
Ti  0.000  0.000  0.000
Ti  0.146  0.646  0.500
Ti  0.854  0.354  0.500
Cu  0.279  0.779  0.500
Cu  0.403  0.903  0.500
Cu  0.597  0.097  0.500
Cu  0.721  0.221  0.500
Ni  0.500  0.500  0.000

size of the total moment	0.00	μB/f.u.
ΔE_f	-0.688	kcal/mol of atoms
Fermi-level density of states	7.48	states/eV per cell

Here is an optimized crystal structure of HfAlCd from the Alexandria database. Energies are from PBE-GGA.

Cell: 4.612 4.612 3.166 Å, 90.00 90.00 120.00°
Positions (direct):
Hf  0.000  0.000  0.000
Al  0.667  0.333  0.500
Cd  0.333  0.667  0.500

size of the total moment	0.00	μB/f.u.
ΔE_f	-3.310	kcal/mol of atoms
Fermi-level density of states	1.75	states/eV per cell

Here is an optimized crystal structure of Ce3GeCl from the Alexandria database. Energies are from PBE-GGA.

Cell: 12.345 6.326 6.310 Å, 90.00 90.00 90.00°
Positions (direct):
Ce  0.007  0.250  0.000
Ce  0.007  0.250  0.500
Ce  0.257  0.530  0.250
Ce  0.257  0.970  0.750
Ce  0.415  0.619  0.750
Ce  0.415  0.881  0.250
Ce  0.585  0.119  0.750
Ce  0.585  0.381  0.250
Ce  0.743  0.030  0.250
Ce  0.743  0.470  0.750
Ce  0.993  0.750  0.000
Ce  0.993  0.750  0.500
Ge  0.173  0.511  0.750
Ge  0.173  0.989  0.250
Ge  0.827  0.011  0.750
Ge  0.827  0.489  0.250
Cl  0.399  0.250  0.000
Cl  0.399  0.250  0.500
Cl  0.601  0.750  0.000
Cl  0.601  0.750  0.500

size of the total moment	1.52	μB/f.u.
formation energy from raw total energies	-4.022	eV per formula unit
Fermi-level density of states	50.41	states/eV per cell